1.
DFT (PBE) results for an optimized crystal structure of Tb3Al7Pd2.

Geometry as CIF:
```
data_Tb3Al7Pd2
_space_group_name_H-M_alt 'R -3 m'
_space_group_IT_number 166
_space_group_name_Hall '-R 3 2"'
_cell_length_a 5.5180
_cell_length_b 5.5180
_cell_length_c 26.0390
_cell_angle_alpha 90.00
_cell_angle_beta 90.00
_cell_angle_gamma 120.00
loop_
_atom_site_label
_atom_site_fract_x
_atom_site_fract_y
_atom_site_fract_z
Tb1 0.0000 0.0000 0.0000
Tb2 0.0000 0.0000 0.1437
Al1 0.0000 0.0000 0.5000
Al2 0.0068 0.5034 0.9204
Pd1 0.0000 0.0000 0.3358
```

Computed properties:
total DFT energy (no corrections) = -4.9006 eV per atom
magnetization = 0.000 μB per atom

2.
DFT (PBE) results for an optimized crystal structure of HoLuPd.

Geometry as CIF:
```
data_HoLuPd
_space_group_name_H-M_alt 'P n m a'
_space_group_IT_number 62
_cell_length_a 6.9698
_cell_length_b 4.7897
_cell_length_c 8.6245
_cell_angle_alpha 90.00
_cell_angle_beta 90.00
_cell_angle_gamma 90.00
loop_
_space_group_symop_operation_xyz
'x,y,z'
'-x,-y,-z'
'-x+1/2,-y,z+1/2'
'x+1/2,y,-z+1/2'
'x+1/2,-y+1/2,-z+1/2'
'-x+1/2,y+1/2,z+1/2'
'-x,y+1/2,-z'
'x,-y+1/2,z'
loop_
_atom_site_label
_atom_site_fract_x
_atom_site_fract_y
_atom_site_fract_z
Ho1 0.0175 0.2500 0.1739
Lu1 0.1440 0.2500 0.5777
Pd1 0.2426 0.2500 0.9036
```

Computed properties:
magnetization = 0.000 μB per atom
ΔH_f (0 K) = -0.670 eV per atom
energy above the lowest structure with this stoichiometry = 0.0 kJ/mol of atoms

3.
DFT (PBE) results for an optimized crystal structure of PuB4Ir4.

Geometry as CIF:
```
data_PuB4Ir4
_space_group_name_H-M_alt 'P 42/n'
_space_group_IT_number 86
_cell_length_a 7.6634
_cell_length_b 7.6634
_cell_length_c 3.9516
_cell_angle_alpha 90.00
_cell_angle_beta 90.00
_cell_angle_gamma 90.00
loop_
_space_group_symop_operation_xyz
'x,y,z'
'-x,-y,-z'
'-y,x+1/2,z+1/2'
'y,-x+1/2,-z+1/2'
'-x+1/2,-y+1/2,z'
'x+1/2,y+1/2,-z'
'y+1/2,-x,z+1/2'
'-y+1/2,x,-z+1/2'
loop_
_atom_site_label
_atom_site_fract_x
_atom_site_fract_y
_atom_site_fract_z
Pu1 0.2500 0.2500 0.2500
B1 0.0249 0.9061 0.1368
Ir1 0.0883 0.6411 0.1369
```

Computed properties:
total DFT energy (no corrections) = -8.6999 eV per atom
magnetization = 0.014 μB per atom

4.
DFT (PBE) results for an optimized crystal structure of Sc2CoCu2.

Geometry as CIF:
```
data_Sc2CoCu2
_space_group_name_H-M_alt 'I 4/m m m'
_space_group_IT_number 139
_space_group_name_Hall '-I 4 2'
_cell_length_a 3.5174
_cell_length_b 3.5174
_cell_length_c 11.9748
_cell_angle_alpha 90.00
_cell_angle_beta 90.00
_cell_angle_gamma 90.00
loop_
_atom_site_label
_atom_site_fract_x
_atom_site_fract_y
_atom_site_fract_z
Sc1 0.0000 0.0000 0.0994
Co1 0.0000 0.0000 0.5000
Cu1 0.0000 0.5000 0.2500
```

Computed properties:
magnetization = 0.004 μB per atom
ΔH_f (0 K) = 0.358 eV per atom

5.
DFT (PBE) results for an optimized crystal structure of YBeCo2.

Geometry as CIF:
```
data_YBeCo2
_space_group_name_H-M_alt 'F -4 3 m'
_space_group_IT_number 216
_space_group_name_Hall 'F -4 2 3'
_cell_length_a 6.0497
_cell_length_b 6.0497
_cell_length_c 6.0497
_cell_angle_alpha 90.00
_cell_angle_beta 90.00
_cell_angle_gamma 90.00
loop_
_atom_site_label
_atom_site_fract_x
_atom_site_fract_y
_atom_site_fract_z
Y1 0.0000 0.0000 0.0000
Be1 0.2500 0.2500 0.2500
Co1 0.0000 0.0000 0.5000
Co2 0.2500 0.2500 0.7500
```

Computed properties:
total DFT energy (no corrections) = -5.8342 eV per atom
magnetization = 0.649 μB per atom

6.
DFT (PBE) results for an optimized crystal structure of CuBPb2.

Geometry as CIF:
```
data_CuBPb2
_space_group_name_H-M_alt 'F -4 3 m'
_space_group_IT_number 216
_space_group_name_Hall 'F -4 2 3'
_cell_length_a 6.9876
_cell_length_b 6.9876
_cell_length_c 6.9876
_cell_angle_alpha 90.00
_cell_angle_beta 90.00
_cell_angle_gamma 90.00
loop_
_atom_site_label
_atom_site_fract_x
_atom_site_fract_y
_atom_site_fract_z
Cu1 0.0000 0.0000 0.0000
B1 0.2500 0.2500 0.7500
Pb1 0.0000 0.0000 0.5000
Pb2 0.2500 0.2500 0.2500
```

Computed properties:
total DFT energy (no corrections) = -3.2637 eV per atom

7.
DFT (PBE) results for an optimized crystal structure of GdTcB4.

Geometry as CIF:
```
data_GdTcB4
_space_group_name_H-M_alt 'I m m m'
_space_group_IT_number 71
_space_group_name_Hall '-I 2 2'
_cell_length_a 3.1658
_cell_length_b 5.3934
_cell_length_c 7.1978
_cell_angle_alpha 90.00
_cell_angle_beta 90.00
_cell_angle_gamma 90.00
loop_
_atom_site_label
_atom_site_fract_x
_atom_site_fract_y
_atom_site_fract_z
Gd1 0.0000 0.0000 0.0000
Tc1 0.0000 0.0000 0.5000
B1 0.0000 0.3366 0.2481
```

Computed properties:
magnetization = 0.000 μB per atom
energy above the lowest structure with this stoichiometry = 3.9 kJ/mol of atoms

8.
DFT (PBE) results for an optimized crystal structure of Li4PPd2Pb.

Geometry as CIF:
```
data_Li4PPd2Pb
_space_group_name_H-M_alt 'P -4 m 2'
_space_group_IT_number 115
_cell_length_a 4.2541
_cell_length_b 4.2541
_cell_length_c 6.4345
_cell_angle_alpha 90.00
_cell_angle_beta 90.00
_cell_angle_gamma 90.00
loop_
_space_group_symop_operation_xyz
'x,y,z'
'y,-x,-z'
'-x,-y,z'
'-y,x,-z'
'-x,y,z'
'-y,-x,-z'
'x,-y,z'
'y,x,-z'
loop_
_atom_site_label
_atom_site_fract_x
_atom_site_fract_y
_atom_site_fract_z
Li1 0.0000 0.0000 0.0000
Li2 0.0000 0.5000 0.2117
Li3 0.5000 0.5000 0.5000
P1 0.5000 0.5000 0.0000
Pd1 0.0000 0.5000 0.7896
Pb1 0.0000 0.0000 0.5000
```

Computed properties:
total DFT energy (no corrections) = -3.9192 eV per atom

9.
DFT (PBE) results for an optimized crystal structure of AlOs.

Geometry as CIF:
```
data_AlOs
_space_group_name_H-M_alt 'P m -3 m'
_space_group_IT_number 221
_space_group_name_Hall '-P 4 2 3'
_cell_length_a 3.0181
_cell_length_b 3.0181
_cell_length_c 3.0181
_cell_angle_alpha 90.00
_cell_angle_beta 90.00
_cell_angle_gamma 90.00
loop_
_atom_site_label
_atom_site_fract_x
_atom_site_fract_y
_atom_site_fract_z
Al1 0.0000 0.0000 0.0000
Os1 0.5000 0.5000 0.5000
```

Computed properties:
total DFT energy (no corrections) = -7.8815 eV per atom
magnetization = 0.000 μB per atom

10.
DFT (PBE) results for an optimized crystal structure of Rb2TbPrS4.

Geometry as CIF:
```
data_Rb2TbPrS4
_space_group_name_H-M_alt 'P -3 m 1'
_space_group_IT_number 164
_space_group_name_Hall '-P 3 2"'
_cell_length_a 4.1571
_cell_length_b 4.1571
_cell_length_c 15.4103
_cell_angle_alpha 90.00
_cell_angle_beta 90.00
_cell_angle_gamma 120.00
loop_
_atom_site_label
_atom_site_fract_x
_atom_site_fract_y
_atom_site_fract_z
Rb1 0.3333 0.6667 0.2533
Tb1 0.0000 0.0000 0.5000
Pr1 0.0000 0.0000 0.0000
S1 0.3333 0.6667 0.5945
S2 0.3333 0.6667 0.8976
```

Computed properties:
total DFT energy (no corrections) = -5.3087 eV per atom
magnetization = 0.000 μB per atom

11.
DFT (PBE) results for an optimized crystal structure of CoTc.

Geometry as CIF:
```
data_CoTc
_space_group_name_H-M_alt 'F m -3 m'
_space_group_IT_number 225
_space_group_name_Hall '-F 4 2 3'
_cell_length_a 4.8011
_cell_length_b 4.8011
_cell_length_c 4.8011
_cell_angle_alpha 90.00
_cell_angle_beta 90.00
_cell_angle_gamma 90.00
loop_
_atom_site_label
_atom_site_fract_x
_atom_site_fract_y
_atom_site_fract_z
Co1 0.0000 0.0000 0.0000
Tc1 0.0000 0.0000 0.5000
```

Computed properties:
magnetization = 0.592 μB per atom
ΔH_f (0 K) = 0.986 eV per atom
energy above the lowest structure with this stoichiometry = 99.6 kJ/mol of atoms

12.
DFT (PBE) results for an optimized crystal structure of CsLi6TaO6.

Geometry as CIF:
```
data_CsLi6TaO6
_space_group_name_H-M_alt 'R -3 m'
_space_group_IT_number 166
_space_group_name_Hall '-R 3 2"'
_cell_length_a 8.2948
_cell_length_b 8.2948
_cell_length_c 7.3180
_cell_angle_alpha 90.00
_cell_angle_beta 90.00
_cell_angle_gamma 120.00
loop_
_atom_site_label
_atom_site_fract_x
_atom_site_fract_y
_atom_site_fract_z
Cs1 0.0000 0.0000 0.0000
Li1 0.0000 0.3436 0.5000
Ta1 0.0000 0.0000 0.5000
O1 0.0976 0.5488 0.3183
```

Computed properties:
total DFT energy (no corrections) = -5.9950 eV per atom
magnetization = 0.000 μB per atom